# 1
# PBE TaZnSe2N, relaxed
data_TaZnSe2N
_space_group_name_H-M_alt 'P 1'
_space_group_IT_number 1
_cell_length_a 5.1802
_cell_length_b 5.1802
_cell_length_c 3.8913
_cell_angle_alpha 90.00
_cell_angle_beta 90.00
_cell_angle_gamma 90.00
loop_
_space_group_symop_operation_xyz
'x,y,z'
loop_
_atom_site_label
_atom_site_type_symbol
_atom_site_fract_x
_atom_site_fract_y
_atom_site_fract_z
_atom_site_occupancy
N1 N 0.0000 0.0000 0.5000 1
Zn1 Zn 0.5000 0.5000 0.5000 1
Se1 Se 0.0000 0.5000 0.0000 1
Ta1 Ta 0.0000 0.0000 0.0000 1
Se2 Se 0.5000 0.0000 0.0000 1
# DOS(E_F) ... 3.56 states/eV per cell
# Space group ... P4/mmm (123)
# Energy relative to the lowest polymorph listed for this composition ... 0.0 meV/atom
# Raw formation energy ... 0.00 eV per atom
# Spin magnetization ... 0.00 μB/f.u.



# 2
# PBE ZrAsRu4, relaxed
data_ZrAsRu4
_space_group_name_H-M_alt 'P 1'
_space_group_IT_number 1
_cell_length_a 5.1752
_cell_length_b 5.1752
_cell_length_c 5.1752
_cell_angle_alpha 60.00
_cell_angle_beta 60.00
_cell_angle_gamma 60.00
loop_
_space_group_symop_operation_xyz
'x,y,z'
loop_
_atom_site_label
_atom_site_type_symbol
_atom_site_fract_x
_atom_site_fract_y
_atom_site_fract_z
_atom_site_occupancy
Zr1 Zr 0.7500 0.7500 0.7500 1
Ru1 Ru 0.8768 0.3744 0.3744 1
Ru2 Ru 0.3744 0.3744 0.8768 1
Ru3 Ru 0.3744 0.3744 0.3744 1
As1 As 0.0000 0.0000 0.0000 1
Ru4 Ru 0.3744 0.8768 0.3744 1
# DOS(E_F) ... 8.58 states/eV per cell
# Space group ... F-43m (216)
# Spin magnetization ... 0.00 μB/f.u.
# Energy of formation ... 116 meV per atom



# 3
# PBE La2Er3Tm, relaxed
data_La2Er3Tm
_space_group_name_H-M_alt 'P 1'
_space_group_IT_number 1
_cell_length_a 6.2126
_cell_length_b 10.7804
_cell_length_c 6.1939
_cell_angle_alpha 95.31
_cell_angle_beta 80.41
_cell_angle_gamma 106.96
loop_
_space_group_symop_operation_xyz
'x,y,z'
loop_
_atom_site_label
_atom_site_type_symbol
_atom_site_fract_x
_atom_site_fract_y
_atom_site_fract_z
_atom_site_occupancy
Er1 Er 0.7099 0.4593 0.1214 1
Er2 Er 0.2092 0.9592 0.6212 1
La1 La 0.8746 0.6250 0.6246 1
La2 La 0.6252 0.8754 0.8755 1
La3 La 0.1254 0.3750 0.3754 1
Er3 Er 0.7908 0.0408 0.3788 1
Tm1 Tm 0.0403 0.7905 0.1283 1
Er4 Er 0.2901 0.5407 0.8786 1
Er5 Er 0.4596 0.7096 0.3711 1
Tm2 Tm 0.9597 0.2095 0.8717 1
La4 La 0.3748 0.1246 0.1245 1
Er6 Er 0.5404 0.2904 0.6289 1
# DOS(E_F) ... 16.60 states/eV per cell
# Space group ... P-1 (2)
# Energy relative to the lowest polymorph listed for this composition ... 0.0 meV/atom
# Spin magnetization ... 0.00 μB/f.u.
# Energy of formation ... 33 meV per atom



# 4
# PBE PrEr8Sc2, relaxed
data_PrEr8Sc2
_space_group_name_H-M_alt 'P 1'
_space_group_IT_number 1
_cell_length_a 4.9214
_cell_length_b 7.8042
_cell_length_c 10.4339
_cell_angle_alpha 121.43
_cell_angle_beta 103.64
_cell_angle_gamma 90.00
loop_
_space_group_symop_operation_xyz
'x,y,z'
loop_
_atom_site_label
_atom_site_type_symbol
_atom_site_fract_x
_atom_site_fract_y
_atom_site_fract_z
_atom_site_occupancy
Pr1 Pr 0.5000 0.0000 0.0000 1
Er1 Er 0.1402 0.0884 0.2805 1
Er2 Er 0.9520 0.6299 0.9041 1
Sc1 Sc 0.7716 0.1778 0.5431 1
Er3 Er 0.8598 0.9116 0.7195 1
Er4 Er 0.4054 0.2706 0.8107 1
Er5 Er 0.6835 0.4557 0.3670 1
Er6 Er 0.5946 0.7294 0.1893 1
Er7 Er 0.0480 0.3701 0.0959 1
Er8 Er 0.3165 0.5443 0.6330 1
Sc2 Sc 0.2284 0.8222 0.4569 1
# DOS(E_F) ... 16.67 states/eV per cell
# Space group ... C2/m (12)
# Energy relative to the lowest polymorph listed for this composition ... 0.0 meV/atom
# Spin magnetization ... 0.00 μB/f.u.
# Energy of formation ... 44 meV per atom



# 5
# PBE KPbIBr2, relaxed
data_KPbIBr2
_space_group_name_H-M_alt 'P 1'
_space_group_IT_number 1
_cell_length_a 5.9385
_cell_length_b 5.9385
_cell_length_c 6.3910
_cell_angle_alpha 90.00
_cell_angle_beta 90.00
_cell_angle_gamma 90.00
loop_
_space_group_symop_operation_xyz
'x,y,z'
loop_
_atom_site_label
_atom_site_type_symbol
_atom_site_fract_x
_atom_site_fract_y
_atom_site_fract_z
_atom_site_occupancy
Br1 Br 0.0000 0.5000 0.0000 1
I1 I 0.0000 0.0000 0.5000 1
K1 K 0.5000 0.5000 0.5000 1
Pb1 Pb 0.0000 0.0000 0.0000 1
Br2 Br 0.5000 0.0000 0.0000 1
# DOS(E_F) ... 0.00 states/eV per cell
# Space group ... P4/mmm (123)
# Energy relative to the lowest polymorph listed for this composition ... 70.8 meV/atom
# Raw formation energy ... -1.08 eV per atom
# Spin magnetization ... 0.00 μB/f.u.



# 6
# PBE BaY2As, relaxed
data_BaY2As
_space_group_name_H-M_alt 'P 1'
_space_group_IT_number 1
_cell_length_a 3.7274
_cell_length_b 3.7274
_cell_length_c 10.0063
_cell_angle_alpha 90.00
_cell_angle_beta 90.00
_cell_angle_gamma 105.01
loop_
_space_group_symop_operation_xyz
'x,y,z'
loop_
_atom_site_label
_atom_site_type_symbol
_atom_site_fract_x
_atom_site_fract_y
_atom_site_fract_z
_atom_site_occupancy
Y1 Y 0.0000 0.0000 0.4249 1
Y2 Y 0.0000 0.0000 0.0751 1
Ba1 Ba 0.5000 0.5000 0.7500 1
As1 As 0.5000 0.5000 0.2500 1
# DOS(E_F) ... 4.28 states/eV per cell
# Space group ... Cmmm (65)
# Spin magnetization ... 0.00 μB/f.u.
# Energy of formation ... -455 meV per atom



# 7
# PBE BeCS2, relaxed
data_BeCS2
_space_group_name_H-M_alt 'P 1'
_space_group_IT_number 1
_cell_length_a 4.6559
_cell_length_b 4.6559
_cell_length_c 6.1656
_cell_angle_alpha 67.82
_cell_angle_beta 67.82
_cell_angle_gamma 90.00
loop_
_space_group_symop_operation_xyz
'x,y,z'
loop_
_atom_site_label
_atom_site_type_symbol
_atom_site_fract_x
_atom_site_fract_y
_atom_site_fract_z
_atom_site_occupancy
S1 S 0.3750 0.3669 0.7500 1
C1 C 0.0000 0.0000 0.0000 1
Be1 Be 0.2500 0.7500 0.5000 1
S2 S 0.1169 0.6250 0.2500 1
S3 S 0.6331 0.1250 0.2500 1
S4 S 0.8750 0.8831 0.7500 1
C2 C 0.7500 0.2500 0.5000 1
Be2 Be 0.5000 0.5000 0.0000 1
# DOS(E_F) ... 1.24 states/eV per cell
# Space group ... I-42d (122)
# Energy relative to the lowest polymorph listed for this composition ... 171.0 meV/atom
# Raw formation energy ... 0.66 eV per atom
# Spin magnetization ... 0.00 μB/f.u.



# 8
# PBE Ca2Ce3SmTe6, relaxed
data_Ca2Ce3SmTe6
_space_group_name_H-M_alt 'P 1'
_space_group_IT_number 1
_cell_length_a 7.7372
_cell_length_b 7.7372
_cell_length_c 7.8549
_cell_angle_alpha 99.45
_cell_angle_beta 99.45
_cell_angle_gamma 119.96
loop_
_space_group_symop_operation_xyz
'x,y,z'
loop_
_atom_site_label
_atom_site_type_symbol
_atom_site_fract_x
_atom_site_fract_y
_atom_site_fract_z
_atom_site_occupancy
Sm1 Sm 0.0000 0.0000 0.0000 1
Ce1 Ce 0.5000 0.5000 0.5000 1
Te1 Te 0.7467 0.7467 0.2439 1
Te2 Te 0.2533 0.2533 0.7561 1
Te3 Te 0.4158 0.0813 0.2437 1
Ce2 Ce 0.8336 0.1664 0.5000 1
Te4 Te 0.0813 0.4158 0.2437 1
Ca1 Ca 0.3332 0.6668 0.0000 1
Te5 Te 0.5842 0.9187 0.7563 1
Ce3 Ce 0.1664 0.8336 0.5000 1
Te6 Te 0.9187 0.5842 0.7563 1
Ca2 Ca 0.6668 0.3332 0.0000 1
# DOS(E_F) ... 23.75 states/eV per cell
# Space group ... C2/m (12)
# Raw formation energy ... -1.43 eV per atom
# Spin magnetization ... 4.12 μB/f.u.